A PBEsol-optimized structure of KBa2. Source: Alexandria via LeMat-Bulk, functional meta-GGA SCAN.

Unit cell a=16.639 b=4.347 c=10.691 alpha=90.00 beta=104.04 gamma=90.00
Positions (direct):
K1 0.200 0.000 0.144
K2 0.300 0.500 0.856
K3 0.700 0.500 0.144
K4 0.800 0.000 0.856
Ba1 0.026 0.500 0.808
Ba2 0.132 0.000 0.522
Ba3 0.368 0.500 0.478
Ba4 0.474 0.000 0.192
Ba5 0.526 0.000 0.808
Ba6 0.632 0.500 0.522
Ba7 0.868 0.000 0.478
Ba8 0.974 0.500 0.192

## Properties
Calculated volume (Å³ per cell): 750.2
Spin magnetization (μB/cell): 0.09
Total energy (eV per atom): -29.044